Computed, not measured: Pm3Pr6HoTm2 after structural relaxation at the GGA-PBE level of DFT.

Cell: 6.335 6.335 11.971 Å, 95.05 95.05 120.01°
Fractional coordinates of all 12 atoms:
Pm  0.000  0.000  0.000
Pm  0.333  0.667  0.000
Pm  0.667  0.333  0.000
Pr  0.084  0.418  0.254
Pr  0.249  0.249  0.746
Pr  0.418  0.084  0.254
Pr  0.582  0.916  0.746
Pr  0.751  0.751  0.254
Pr  0.916  0.582  0.746
Ho  0.500  0.500  0.500
Tm  0.167  0.833  0.500
Tm  0.833  0.167  0.500

Computed properties:
* crystal system: monoclinic
* volume: 34.13 Å³ per atom
* space group: No. 12
* calculated formation energy: 0.015 eV/atom
* D(E_F): 1.195 states/eV/atom
* theoretical density: 7.2 Mg/m³